Record 1
Below is Mg3ZnCd12 after structural relaxation, with properties calculated at the PBE level.

a b c (Å): 4.4509 4.4509 17.5711
angles (deg): 90.00 90.00 90.00
Atoms (fractional coordinates):
Mg 0.0000 0.0000 0.0000
Mg 0.0000 0.0000 0.2528
Mg 0.0000 0.0000 0.7472
Zn 0.0000 0.0000 0.5000
Cd 0.0000 0.5000 0.1266
Cd 0.0000 0.5000 0.3797
Cd 0.0000 0.5000 0.6203
Cd 0.0000 0.5000 0.8734
Cd 0.5000 0.0000 0.1266
Cd 0.5000 0.0000 0.3797
Cd 0.5000 0.0000 0.6203
Cd 0.5000 0.0000 0.8734
Cd 0.5000 0.5000 0.0000
Cd 0.5000 0.5000 0.2529
Cd 0.5000 0.5000 0.5000
Cd 0.5000 0.5000 0.7471

Calculated values
The calculation puts the formation energy at -29 meV/atom.

Record 2
Below is DyCuRhAu after structural relaxation, with properties calculated at the PBE level.

a b c (Å): 3.9710 3.9837 4.3819
angles (deg): 90.00 90.00 90.00
Atoms (fractional coordinates):
Dy 0.0000 0.0000 0.0000
Cu 0.0000 0.5000 0.5000
Rh 0.5000 0.5000 0.0000
Au 0.5000 0.0000 0.5000

Calculated values
The calculation puts the formation energy at -559 meV/atom. The excess energy over the best structure of this formula in the dataset comes out at 0.0 meV per atom.

Record 3
Below is KLiBiCl5 after structural relaxation, with properties calculated at the PBE level.

a b c (Å): 7.5507 7.5507 10.0920
angles (deg): 103.82 103.82 107.59
Atoms (fractional coordinates):
K 0.1458 0.8542 0.7500
K 0.8542 0.1458 0.2500
Li 0.1922 0.8078 0.2500
Li 0.8078 0.1922 0.7500
Bi 0.5000 0.5000 0.0000
Bi 0.5000 0.5000 0.5000
Cl 0.1185 0.2505 0.9289
Cl 0.1820 0.5812 0.3805
Cl 0.2505 0.1185 0.4289
Cl 0.4096 0.5904 0.7500
Cl 0.4188 0.8180 0.1195
Cl 0.5812 0.1820 0.8805
Cl 0.5904 0.4096 0.2500
Cl 0.7495 0.8815 0.5711
Cl 0.8180 0.4188 0.6195
Cl 0.8815 0.7495 0.0711

Record 4
Below is BiBr3 after structural relaxation, with properties calculated at the PBE level.

a b c (Å): 7.3797 7.3797 11.7159
angles (deg): 90.00 90.00 149.59
Atoms (fractional coordinates):
Bi 0.2126 0.7874 0.7500
Bi 0.7874 0.2126 0.2500
Br 0.1342 0.8658 0.2500
Br 0.3660 0.6340 0.0898
Br 0.3660 0.6340 0.4102
Br 0.6340 0.3660 0.5898
Br 0.6340 0.3660 0.9102
Br 0.8658 0.1342 0.7500

Record 5
Below is Cs2SnSb3Pb4 after structural relaxation, with properties calculated at the PBE level.

a b c (Å): 5.3729 5.3729 13.6258
angles (deg): 90.00 90.00 90.00
Atoms (fractional coordinates):
Cs 0.0000 0.5000 0.2394
Cs 0.5000 0.0000 0.7606
Sn 0.5000 0.5000 0.0000
Sb 0.0000 0.0000 0.0000
Sb 0.0000 0.5000 0.6320
Sb 0.5000 0.0000 0.3680
Pb 0.0000 0.0000 0.5000
Pb 0.0000 0.5000 0.8769
Pb 0.5000 0.0000 0.1231
Pb 0.5000 0.5000 0.5000

Record 6
Below is BiTePb2 after structural relaxation, with properties calculated at the PBE level.

a b c (Å): 5.6399 5.6399 5.6399
angles (deg): 60.00 60.00 60.00
Atoms (fractional coordinates):
Bi 0.0000 0.0000 0.0000
Te 0.5000 0.5000 0.5000
Pb 0.2500 0.2500 0.2500
Pb 0.7500 0.7500 0.7500

Calculated values
The excess energy over the best structure of this formula in the dataset comes out at 118.3 meV per atom.

Record 7
Below is SrLiPb5 after structural relaxation, with properties calculated at the PBE level.

a b c (Å): 4.9087 4.9087 8.7262
angles (deg): 90.00 90.00 90.00
Atoms (fractional coordinates):
Sr 0.0000 0.0000 0.0000
Li 0.5000 0.5000 0.5000
Pb 0.0000 0.5000 0.3021
Pb 0.0000 0.5000 0.6979
Pb 0.5000 0.0000 0.3021
Pb 0.5000 0.0000 0.6979
Pb 0.5000 0.5000 0.0000

Calculated values
The calculation puts the formation energy at -196 meV/atom.

Record 8
Below is Li2PmTlF8 after structural relaxation, with properties calculated at the PBE level.

a b c (Å): 3.8573 5.5292 7.8780
angles (deg): 91.04 90.15 107.56
Atoms (fractional coordinates):
Li 0.1751 0.4041 0.2641
Li 0.8249 0.5959 0.7359
Pm 0.5000 0.0000 0.0000
Tl 0.5000 0.0000 0.5000
F 0.1098 0.2482 0.0300
F 0.1135 0.2440 0.4869
F 0.3821 0.7609 0.2513
F 0.3840 0.7471 0.7405
F 0.6160 0.2529 0.2595
F 0.6179 0.2391 0.7487
F 0.8865 0.7560 0.5131
F 0.8902 0.7518 0.9700

Record 9
Below is LuNpTcRh after structural relaxation, with properties calculated at the PBE level.

a b c (Å): 4.7605 4.7605 4.7605
angles (deg): 60.00 60.00 60.00
Atoms (fractional coordinates):
Lu 0.0000 0.0000 0.0000
Np 0.5000 0.5000 0.5000
Tc 0.7500 0.7500 0.7500
Rh 0.2500 0.2500 0.2500

Calculated values
The calculation puts the formation energy at -278 meV/atom.

Record 10
Below is LiTmScS3 after structural relaxation, with properties calculated at the PBE level.

a b c (Å): 7.6593 3.6844 8.1710
angles (deg): 90.00 103.79 90.00
Atoms (fractional coordinates):
Li 0.0927 0.2500 0.0881
Li 0.9073 0.7500 0.9119
Tm 0.1918 0.2500 0.7264
Tm 0.8082 0.7500 0.2736
Sc 0.3397 0.7500 0.3415
Sc 0.6603 0.2500 0.6585
S 0.0963 0.2500 0.3729
S 0.2289 0.7500 0.9971
S 0.4295 0.7500 0.6697
S 0.5705 0.2500 0.3303
S 0.7711 0.2500 0.0029
S 0.9037 0.7500 0.6271

Record 11
Below is Pm4Zn5Ag2 after structural relaxation, with properties calculated at the PBE level.

a b c (Å): 7.2586 3.7777 9.4253
angles (deg): 90.00 93.69 90.00
Atoms (fractional coordinates):
Pm 0.1851 0.0000 0.3882
Pm 0.2697 0.0000 0.9313
Pm 0.7303 0.0000 0.0687
Pm 0.8149 0.0000 0.6118
Zn 0.2052 0.5000 0.6590
Zn 0.4477 0.5000 0.2116
Zn 0.5000 0.5000 0.5000
Zn 0.5523 0.5000 0.7884
Zn 0.7948 0.5000 0.3410
Ag 0.0694 0.5000 0.1427
Ag 0.9306 0.5000 0.8573

Calculated values
The calculation puts the formation energy at -223 meV/atom.

Record 12
Below is HoPuSe2O after structural relaxation, with properties calculated at the PBE level.

a b c (Å): 3.9712 3.9712 14.3360
angles (deg): 90.00 90.00 90.00
Atoms (fractional coordinates):
Ho 0.2500 0.2500 0.1217
Ho 0.7500 0.7500 0.8783
Pu 0.2500 0.2500 0.5832
Pu 0.7500 0.7500 0.4168
Se 0.2500 0.2500 0.3097
Se 0.2500 0.2500 0.9088
Se 0.7500 0.7500 0.0912
Se 0.7500 0.7500 0.6903
O 0.2500 0.7500 0.5000
O 0.7500 0.2500 0.5000

Record 13
Below is TiSb after structural relaxation, with properties calculated at the PBE level.

a b c (Å): 7.6310 7.6310 7.6310
angles (deg): 93.29 93.29 152.29
Atoms (fractional coordinates):
Ti 0.0660 0.3715 0.4376
Ti 0.3715 0.9340 0.3055
Ti 0.6285 0.0660 0.6945
Ti 0.9340 0.6285 0.5624
Sb 0.1377 0.7902 0.9279
Sb 0.2098 0.1377 0.3475
Sb 0.7902 0.8623 0.6525
Sb 0.8623 0.2098 0.0721

Record 14
Below is SrTi2NbO8 after structural relaxation, with properties calculated at the PBE level.

a b c (Å): 5.0445 5.0445 6.9818
angles (deg): 97.09 97.09 78.35
Atoms (fractional coordinates):
Sr 0.0000 0.0000 0.0000
Ti 0.4441 0.4441 0.7846
Ti 0.5559 0.5559 0.2154
Nb 0.0000 0.0000 0.5000
O 0.2108 0.7667 0.7056
O 0.2333 0.7892 0.2944
O 0.2540 0.2540 0.5784
O 0.3381 0.3381 0.9985
O 0.6619 0.6619 0.0015
O 0.7460 0.7460 0.4216
O 0.7667 0.2108 0.7056
O 0.7892 0.2333 0.2944

Record 15
Below is Tc5Sb after structural relaxation, with properties calculated at the PBE level.

a b c (Å): 4.9740 4.9740 4.7646
angles (deg): 90.00 90.00 120.00
Atoms (fractional coordinates):
Tc 0.0000 0.5000 0.0000
Tc 0.3333 0.6667 0.5000
Tc 0.5000 0.0000 0.0000
Tc 0.5000 0.5000 0.0000
Tc 0.6667 0.3333 0.5000
Sb 0.0000 0.0000 0.5000

Calculated values
The excess energy over the best structure of this formula in the dataset comes out at 401.6 meV per atom.

Record 16
Below is GaSnBi2 after structural relaxation, with properties calculated at the PBE level.

a b c (Å): 12.1011 12.1011 12.1011
angles (deg): 16.00 16.00 16.00
Atoms (fractional coordinates):
Ga 0.0000 0.0000 0.0000
Sn 0.5000 0.5000 0.5000
Bi 0.0827 0.0827 0.0827
Bi 0.9173 0.9173 0.9173

Calculated values
The calculation puts the formation energy at 175 meV/atom.

Record 17
Below is LiHgClO after structural relaxation, with properties calculated at the PBE level.

a b c (Å): 3.8183 3.8183 6.1650
angles (deg): 90.00 90.00 120.00
Atoms (fractional coordinates):
Li 0.0000 0.0000 0.0000
Hg 0.6667 0.3333 0.3955
Cl 0.6667 0.3333 0.8526
O 0.0000 0.0000 0.3160

Record 18
Below is Ba2Al5Ag3 after structural relaxation, with properties calculated at the PBE level.

a b c (Å): 9.2157 9.2157 9.2157
angles (deg): 104.15 90.36 138.52
Atoms (fractional coordinates):
Ba 0.1263 0.2450 0.3713
Ba 0.3737 0.7450 0.1188
Ba 0.6263 0.2550 0.8812
Ba 0.8737 0.7550 0.6287
Al 0.0115 0.7500 0.2615
Al 0.1308 0.8787 0.0095
Al 0.2500 0.7500 0.5000
Al 0.3692 0.3787 0.7479
Al 0.4885 0.7500 0.7385
Al 0.5115 0.2500 0.2615
Al 0.6308 0.6213 0.2521
Al 0.7500 0.2500 0.5000
Al 0.8692 0.1213 0.9905
Al 0.9885 0.2500 0.7385
Ag 0.1205 0.6339 0.7544
Ag 0.2500 0.2500 0.0000
Ag 0.3795 0.1339 0.5133
Ag 0.6205 0.8661 0.4867
Ag 0.7500 0.7500 0.0000
Ag 0.8795 0.3661 0.2456

Calculated values
The calculation puts the formation energy at -228 meV/atom.

Record 19
Below is ZrTc2 after structural relaxation, with properties calculated at the PBE level.

a b c (Å): 7.0379 6.8382 2.8383
angles (deg): 82.18 74.28 23.55
Atoms (fractional coordinates):
Zr 0.0000 0.0000 0.0000
Tc 0.3264 0.3264 0.6736
Tc 0.6736 0.6736 0.3264

Calculated values
The calculation puts the formation energy at 65 meV/atom. The excess energy over the best structure of this formula in the dataset comes out at 376.5 meV per atom.

Record 20
Below is RbSrIO2 after structural relaxation, with properties calculated at the PBE level.

a b c (Å): 5.0031 5.0031 6.6640
angles (deg): 90.00 90.00 90.00
Atoms (fractional coordinates):
Rb 0.0000 0.0000 0.0000
Sr 0.5000 0.5000 0.5000
I 0.5000 0.5000 0.0000
O 0.0000 0.5000 0.5000
O 0.5000 0.0000 0.5000

Calculated values
The excess energy over the best structure of this formula in the dataset comes out at 0.0 meV per atom.

Record 21
Below is GaHgN2 after structural relaxation, with properties calculated at the PBE level.

a b c (Å): 6.4925 6.4925 6.4925
angles (deg): 28.24 28.24 28.24
Atoms (fractional coordinates):
Ga 0.0000 0.0000 0.0000
Hg 0.5000 0.5000 0.5000
N 0.3890 0.3890 0.3890
N 0.6110 0.6110 0.6110

Calculated values
The excess energy over the best structure of this formula in the dataset comes out at 44.0 meV per atom.

Record 22
Below is Si2AsRh after structural relaxation, with properties calculated at the PBE level.

a b c (Å): 2.8376 3.0326 7.0626
angles (deg): 90.00 90.00 90.00
Atoms (fractional coordinates):
Si 0.0000 0.0000 0.2156
Si 0.0000 0.0000 0.7844
As 0.5000 0.5000 0.5000
Rh 0.5000 0.5000 0.0000

Calculated values
The excess energy over the best structure of this formula in the dataset comes out at 179.0 meV per atom.

Record 23
Below is TbPm5Er4 after structural relaxation, with properties calculated at the PBE level.

a b c (Å): 8.7125 8.7125 11.4437
angles (deg): 108.47 108.47 23.50
Atoms (fractional coordinates):
Tb 0.0000 0.0000 0.0000
Pm 0.0000 0.0000 0.5000
Pm 0.2890 0.2890 0.3838
Pm 0.3115 0.3115 0.9234
Pm 0.6885 0.6885 0.0766
Pm 0.7110 0.7110 0.6162
Er 0.1044 0.1044 0.7968
Er 0.4175 0.4175 0.7095
Er 0.5825 0.5825 0.2905
Er 0.8956 0.8956 0.2032

Calculated values
The calculation puts the formation energy at 36 meV/atom. The excess energy over the best structure of this formula in the dataset comes out at 0.0 meV per atom.

Record 24
Below is ErTmAgIr after structural relaxation, with properties calculated at the PBE level.

a b c (Å): 4.9173 4.9173 4.9173
angles (deg): 60.00 60.00 60.00
Atoms (fractional coordinates):
Er 0.0000 0.0000 0.0000
Tm 0.5000 0.5000 0.5000
Ag 0.7500 0.7500 0.7500
Ir 0.2500 0.2500 0.2500

Calculated values
The calculation puts the formation energy at -649 meV/atom.

Number 1: N(E_F) 7.10 states/eV per cell, uncorrected energy -17.5 eV for the cell shown. Number 2: N(E_F) 0.90 states/eV per cell, uncorrected energy -21.6 eV for the cell shown. Number 3: N(E_F) 0.00 states/eV per cell, uncorrected energy -55.6 eV for the cell shown. Number 4: N(E_F) 0.00 states/eV per cell, uncorrected energy -23.2 eV for the cell shown. Number 5: N(E_F) 6.09 states/eV per cell, uncorrected energy -34.7 eV for the cell shown. Number 6: N(E_F) 3.48 states/eV per cell, uncorrected energy -14.5 eV for the cell shown. Number 7: N(E_F) 3.39 states/eV per cell, uncorrected energy -23.5 eV for the cell shown. Number 8: N(E_F) 0.00 states/eV per cell, uncorrected energy -61.2 eV for the cell shown. Number 9: N(E_F) 5.24 states/eV per cell, uncorrected energy -36.3 eV for the cell shown. Number 10: N(E_F) 5.33 states/eV per cell, uncorrected energy -71.1 eV for the cell shown. Number 11: N(E_F) 9.28 states/eV per cell, uncorrected energy -33.5 eV for the cell shown. Number 12: N(E_F) 12.05 states/eV per cell, uncorrected energy -83.6 eV for the cell shown. Number 13: N(E_F) 7.44 states/eV per cell, uncorrected energy -49.2 eV for the cell shown. Number 14: N(E_F) 3.19 states/eV per cell, uncorrected energy -99.2 eV for the cell shown. Number 15: N(E_F) 7.03 states/eV per cell, uncorrected energy -52.9 eV for the cell shown. Number 16: N(E_F) 1.78 states/eV per cell, uncorrected energy -14.1 eV for the cell shown. Number 17: N(E_F) 0.42 states/eV per cell, uncorrected energy -13.1 eV for the cell shown. Number 18: N(E_F) 10.12 states/eV per cell, uncorrected energy -66.8 eV for the cell shown. Number 19: N(E_F) 2.50 states/eV per cell, uncorrected energy -29.1 eV for the cell shown. Number 20: N(E_F) 9.07 states/eV per cell, uncorrected energy -19.2 eV for the cell shown. Number 21: N(E_F) 2.07 states/eV per cell, uncorrected energy -17.4 eV for the cell shown. Number 22: N(E_F) 1.45 states/eV per cell, uncorrected energy -23.0 eV for the cell shown. Number 23: N(E_F) 13.49 states/eV per cell, uncorrected energy -46.3 eV for the cell shown. Number 24: N(E_F) 2.69 states/eV per cell, uncorrected energy -23.3 eV for the cell shown.